one) # CaPbSeN2

A geometry-optimized CaPbSeN2 structure (GGA-PBE, the Alexandria database).

Properties
As for the space group: P4/mmm (123). The density of states at the Fermi level is 0.479 states/eV/atom. The value obtained for the calculated volume is 138 Å³ per cell.

POSCAR file:
```
CaPbSeN2
1.0
4.793 0.000 0.000
0.000 4.793 0.000
0.000 0.000 6.029
Ca Pb Se N
1 1 1 2
Cartesian
0.000 0.000 0.000
2.396 2.396 3.014
0.000 0.000 3.014
0.000 2.396 0.000
2.396 0.000 0.000
```

two) # CaPbSeN2

A geometry-optimized CaPbSeN2 structure (GGA-PBE, the Alexandria database).

Properties
As for the space group: P4/mmm (123). The density of states at the Fermi level is 0.685 states/eV/atom. The value obtained for the calculated volume is 117 Å³ per cell.

POSCAR file:
```
CaPbSeN2
1.0
4.514 0.000 0.000
0.000 4.514 0.000
0.000 0.000 5.752
Ca Pb Se N
1 1 1 2
Cartesian
0.000 0.000 0.000
2.257 2.257 2.876
2.257 2.257 0.000
0.000 2.257 2.876
2.257 0.000 2.876
```

two) ends up most stable, edging out the next structure by 202 meV/atom.

one) # CaTePbN2

A geometry-optimized CaTePbN2 structure (GGA-PBE, the Alexandria database).

Properties
As for the space group: P4/mmm (123). The density of states at the Fermi level is 0.514 states/eV/atom. The value obtained for the calculated volume is 125 Å³ per cell.

POSCAR file:
```
CaTePbN2
1.0
4.480 0.000 0.000
0.000 4.480 0.000
0.000 0.000 6.230
Ca Te Pb N
1 1 1 2
Cartesian
0.000 0.000 0.000
2.240 2.240 0.000
2.240 2.240 3.115
0.000 2.240 3.115
2.240 0.000 3.115
```

two) # CaTePbN2

A geometry-optimized CaTePbN2 structure (GGA-PBE, the Alexandria database).

Properties
As for the space group: P4/mmm (123). The density of states at the Fermi level is 0.451 states/eV/atom. The value obtained for the calculated volume is 137 Å³ per cell.

POSCAR file:
```
CaTePbN2
1.0
4.687 0.000 0.000
0.000 4.687 0.000
0.000 0.000 6.232
Ca Te Pb N
1 1 1 2
Cartesian
0.000 0.000 0.000
0.000 0.000 3.116
2.343 2.343 3.116
0.000 2.343 0.000
2.343 0.000 0.000
```

one) ends up most stable, edging out the next structure by 110 meV/atom.

one) # CaPd2N2

A geometry-optimized CaPd2N2 structure (GGA-PBE, the Alexandria database).

Properties
As for the space group: P4/mbm (127). The density of states at the Fermi level is 0.764 states/eV/atom. The value obtained for the calculated volume is 167 Å³ per cell.

POSCAR file:
```
CaPd2N2
1.0
6.643 0.000 0.000
0.000 6.643 0.000
0.000 0.000 3.789
Ca Pd N
2 4 4
Cartesian
0.000 0.000 0.000
3.321 3.321 0.000
0.927 2.394 1.894
2.394 5.715 1.894
4.249 0.927 1.894
5.715 4.249 1.894
1.049 2.272 0.000
2.272 5.593 0.000
4.371 1.049 0.000
5.593 4.371 0.000
```

two) # CaPd2N2

A geometry-optimized CaPd2N2 structure (GGA-PBE, the Alexandria database).

Properties
As for the space group: I4/mmm (139). The density of states at the Fermi level is 0.388 states/eV/atom. The value obtained for the calculated volume is 147 Å³ per cell.

POSCAR file:
```
CaPd2N2
1.0
3.829 0.000 0.000
0.000 3.829 0.000
0.000 0.000 10.054
Ca Pd N
2 4 4
Cartesian
0.000 0.000 0.000
1.915 1.915 5.027
0.000 1.915 2.514
0.000 1.915 7.541
1.915 0.000 2.514
1.915 0.000 7.541
0.000 0.000 4.412
0.000 0.000 5.643
1.915 1.915 0.616
1.915 1.915 9.439
```

two) ends up most stable, edging out the next structure by 107 meV/atom.

one) # CaPdRh2N

A geometry-optimized CaPdRh2N structure (GGA-PBE, the Alexandria database).

Properties
As for the space group: P4/mmm (123). The density of states at the Fermi level is 0.953 states/eV/atom. The value obtained for the calculated volume is 77 Å³ per cell.

POSCAR file:
```
CaPdRh2N
1.0
3.996 0.000 0.000
0.000 3.996 0.000
0.000 0.000 4.823
Ca Pd Rh N
1 1 2 1
Cartesian
0.000 0.000 0.000
1.998 1.998 0.000
0.000 1.998 2.412
1.998 0.000 2.412
0.000 0.000 2.412
```

two) # CaPdRh2N

A geometry-optimized CaPdRh2N structure (GGA-PBE, the Alexandria database).

Properties
As for the space group: P4/mmm (123). The density of states at the Fermi level is 1.258 states/eV/atom. The value obtained for the calculated volume is 101 Å³ per cell.

POSCAR file:
```
CaPdRh2N
1.0
4.894 0.000 0.000
0.000 4.894 0.000
0.000 0.000 4.204
Ca Pd Rh N
1 1 2 1
Cartesian
0.000 0.000 0.000
2.447 2.447 2.102
0.000 2.447 0.000
2.447 0.000 0.000
0.000 0.000 2.102
```

three) # CaPdRh2N

A geometry-optimized CaPdRh2N structure (GGA-PBE, the Alexandria database).

Properties
As for the space group: P4/mmm (123). The density of states at the Fermi level is 0.666 states/eV/atom. The value obtained for the calculated volume is 75 Å³ per cell.

POSCAR file:
```
CaPdRh2N
1.0
4.103 0.000 0.000
0.000 4.103 0.000
0.000 0.000 4.484
Ca Pd Rh N
1 1 2 1
Cartesian
0.000 0.000 0.000
2.051 2.051 0.000
0.000 2.051 2.242
2.051 0.000 2.242
2.051 2.051 2.242
```

one) ends up most stable, edging out the next structure by 49 meV/atom.

one) # CaPdSN2

A geometry-optimized CaPdSN2 structure (GGA-PBE, the Alexandria database).

Properties
As for the space group: P4/mmm (123). The density of states at the Fermi level is 1.187 states/eV/atom. The value obtained for the calculated volume is 108 Å³ per cell.

POSCAR file:
```
CaPdSN2
1.0
4.424 0.000 0.000
0.000 4.424 0.000
0.000 0.000 5.524
Ca Pd S N
1 1 1 2
Cartesian
0.000 0.000 0.000
2.212 2.212 2.762
0.000 0.000 2.762
0.000 2.212 0.000
2.212 0.000 0.000
```

two) # CaPdSN2

A geometry-optimized CaPdSN2 structure (GGA-PBE, the Alexandria database).

Properties
As for the space group: P4/mmm (123). The density of states at the Fermi level is 0.350 states/eV/atom. The value obtained for the calculated volume is 83 Å³ per cell.

POSCAR file:
```
CaPdSN2
1.0
4.026 0.000 0.000
0.000 4.026 0.000
0.000 0.000 5.098
Ca Pd S N
1 1 1 2
Cartesian
0.000 0.000 0.000
2.013 2.013 2.549
2.013 2.013 0.000
0.000 2.013 2.549
2.013 0.000 2.549
```

two) ends up most stable, edging out the next structure by 1117 meV/atom.

one) # Ca2SbPdN

A geometry-optimized Ca2SbPdN structure (GGA-PBE, the Alexandria database).

Properties
As for the space group: P4/mmm (123). The density of states at the Fermi level is 0.844 states/eV/atom. The value obtained for the calculated volume is 101 Å³ per cell.

POSCAR file:
```
Ca2SbPdN
1.0
4.867 0.000 0.000
0.000 4.867 0.000
0.000 0.000 4.257
Ca Sb Pd N
2 1 1 1
Cartesian
0.000 2.433 0.000
2.433 0.000 0.000
0.000 0.000 2.129
2.433 2.433 2.129
2.433 2.433 0.000
```

two) # Ca2SbPdN

A geometry-optimized Ca2SbPdN structure (GGA-PBE, the Alexandria database).

Properties
As for the space group: P4/mmm (123). The density of states at the Fermi level is 0.517 states/eV/atom. The value obtained for the calculated volume is 103 Å³ per cell.

POSCAR file:
```
Ca2SbPdN
1.0
4.769 0.000 0.000
0.000 4.769 0.000
0.000 0.000 4.545
Ca Sb Pd N
2 1 1 1
Cartesian
0.000 2.385 0.000
2.385 0.000 0.000
0.000 0.000 2.272
2.385 2.385 2.272
0.000 0.000 0.000
```

one) ends up most stable, edging out the next structure by 145 meV/atom.